# 1
# PBE-GGA PaTi2P4, optimized geometry
data_PaTi2P4
_chemical_formula_sum 'Pa4 Ti8 P16'
_cell_length_a 3.693
_cell_length_b 11.443
_cell_length_c 11.849
_cell_angle_alpha 90.00
_cell_angle_beta 90.00
_cell_angle_gamma 90.00
_symmetry_space_group_name_H-M 'C m c m'
_symmetry_Int_Tables_number 63
_symmetry_space_group_name_Hall '-C 2c 2'
loop_
_atom_site_label
_atom_site_fract_x
_atom_site_fract_y
_atom_site_fract_z
_atom_site_occupancy
Pa1 0.000 0.110 0.250 1
Ti1 0.000 0.367 0.055 1
P1 0.000 0.000 0.000 1
P2 0.000 0.263 0.626 1
P3 0.000 0.431 0.250 1
# * calculated formation energy: -0.986 eV/atom

---

# 2
# PBE-GGA PaTiP2, optimized geometry
data_PaTiP2
_chemical_formula_sum 'Pa3 Ti3 P6'
_cell_length_a 3.7101
_cell_length_b 3.7101
_cell_length_c 19.1152
_cell_angle_alpha 90.00
_cell_angle_beta 90.00
_cell_angle_gamma 120.00
_symmetry_space_group_name_H-M 'R 3 m'
_symmetry_Int_Tables_number 160
_symmetry_space_group_name_Hall 'R 3 -2"'
loop_
_atom_site_label
_atom_site_fract_x
_atom_site_fract_y
_atom_site_fract_z
_atom_site_occupancy
Pa1 0.0000 0.0000 0.0000 1
Ti1 0.0000 0.0000 0.1761 1
P1 0.0000 0.0000 0.4305 1
P2 0.0000 0.0000 0.5758 1
# * calculated formation energy: -1.061 eV/atom

---

# 3
# PBE-GGA PaTiP2, optimized geometry
data_PaTiP2
_chemical_formula_sum 'Pa3 Ti3 P6'
_cell_length_a 3.8015
_cell_length_b 3.8015
_cell_length_c 17.8417
_cell_angle_alpha 90.00
_cell_angle_beta 90.00
_cell_angle_gamma 120.00
_symmetry_space_group_name_H-M 'R -3 m'
_symmetry_Int_Tables_number 166
_symmetry_space_group_name_Hall '-R 3 2"'
loop_
_atom_site_label
_atom_site_fract_x
_atom_site_fract_y
_atom_site_fract_z
_atom_site_occupancy
Pa1 0.0000 0.0000 0.0000 1
Ti1 0.0000 0.0000 0.5000 1
P1 0.0000 0.0000 0.2395 1
# * calculated formation energy: -1.212 eV/atom

---

# 4
# PBE-GGA PaTiP, optimized geometry
data_PaTiP
_chemical_formula_sum 'Pa1 Ti1 P1'
_cell_length_a 4.3134
_cell_length_b 4.3134
_cell_length_c 3.5601
_cell_angle_alpha 90.00
_cell_angle_beta 90.00
_cell_angle_gamma 120.00
_symmetry_space_group_name_H-M 'P -6 m 2'
_symmetry_Int_Tables_number 187
_symmetry_space_group_name_Hall 'P -6 2'
loop_
_atom_site_label
_atom_site_fract_x
_atom_site_fract_y
_atom_site_fract_z
_atom_site_occupancy
Pa1 0.0000 0.0000 0.0000 1
Ti1 0.3333 0.6667 0.5000 1
P1 0.6667 0.3333 0.5000 1
# * calculated formation energy: -0.575 eV/atom

---

# 5
# PBE-GGA Pa2TiP3, optimized geometry
data_Pa2TiP3
_chemical_formula_sum 'Pa2 Ti1 P3'
_cell_length_a 3.8125
_cell_length_b 3.8125
_cell_length_c 9.4057
_cell_angle_alpha 90.00
_cell_angle_beta 90.00
_cell_angle_gamma 120.00
_symmetry_space_group_name_H-M 'P -3 m 1'
_symmetry_Int_Tables_number 164
_symmetry_space_group_name_Hall '-P 3 2"'
loop_
_atom_site_label
_atom_site_fract_x
_atom_site_fract_y
_atom_site_fract_z
_atom_site_occupancy
Pa1 0.3333 0.6667 0.1814 1
Ti1 0.0000 0.0000 0.5000 1
P1 0.0000 0.0000 0.0000 1
P2 0.3333 0.6667 0.6390 1
# * calculated formation energy: -1.242 eV/atom

---

# 6
# PBE-GGA PaTlP, optimized geometry
data_PaTlP
_chemical_formula_sum 'Pa4 Tl4 P4'
_cell_length_a 5.534
_cell_length_b 5.525
_cell_length_c 10.640
_cell_angle_alpha 90.00
_cell_angle_beta 102.57
_cell_angle_gamma 90.00
_symmetry_space_group_name_H-M 'C 1 2/m 1'
_symmetry_Int_Tables_number 12
_symmetry_space_group_name_Hall '-C 2y'
loop_
_atom_site_label
_atom_site_fract_x
_atom_site_fract_y
_atom_site_fract_z
_atom_site_occupancy
Pa1 0.193 0.000 0.369 1
Tl1 0.228 0.000 0.910 1
P1 0.186 0.500 0.360 1
# * calculated formation energy: -0.590 eV/atom

---

# 7
# PBE-GGA Tm2PaP, optimized geometry
data_Tm2PaP
_chemical_formula_sum 'Tm6 Pa3 P3'
_cell_length_a 3.5055
_cell_length_b 3.5055
_cell_length_c 30.0941
_cell_angle_alpha 90.00
_cell_angle_beta 90.00
_cell_angle_gamma 120.00
_symmetry_space_group_name_H-M 'R -3 m'
_symmetry_Int_Tables_number 166
_symmetry_space_group_name_Hall '-R 3 2"'
loop_
_atom_site_label
_atom_site_fract_x
_atom_site_fract_y
_atom_site_fract_z
_atom_site_occupancy
Tm1 0.0000 0.0000 0.1104 1
Pa1 0.0000 0.0000 0.0000 1
P1 0.0000 0.0000 0.5000 1
# * calculated formation energy: -0.254 eV/atom

---

# 8
# PBE-GGA TmPa5P6, optimized geometry
data_TmPa5P6
_chemical_formula_sum 'Tm2 Pa10 P12'
_cell_length_a 6.864
_cell_length_b 11.891
_cell_length_c 6.859
_cell_angle_alpha 90.00
_cell_angle_beta 109.50
_cell_angle_gamma 90.00
_symmetry_space_group_name_H-M 'C 1 2/m 1'
_symmetry_Int_Tables_number 12
_symmetry_space_group_name_Hall '-C 2y'
loop_
_atom_site_label
_atom_site_fract_x
_atom_site_fract_y
_atom_site_fract_z
_atom_site_occupancy
Tm1 0.000 0.000 0.000 1
Pa1 0.000 0.166 0.500 1
Pa2 0.000 0.333 0.000 1
Pa3 0.000 0.500 0.500 1
P1 0.249 0.000 0.751 1
P2 0.249 0.166 0.248 1
# * calculated formation energy: -1.367 eV/atom

---

# 9
# PBE-GGA Tm5PaP6, optimized geometry
data_Tm5PaP6
_chemical_formula_sum 'Tm10 Pa2 P12'
_cell_length_a 6.835
_cell_length_b 11.834
_cell_length_c 6.829
_cell_angle_alpha 90.00
_cell_angle_beta 109.44
_cell_angle_gamma 90.00
_symmetry_space_group_name_H-M 'C 1 2/m 1'
_symmetry_Int_Tables_number 12
_symmetry_space_group_name_Hall '-C 2y'
loop_
_atom_site_label
_atom_site_fract_x
_atom_site_fract_y
_atom_site_fract_z
_atom_site_occupancy
Tm1 0.000 0.000 0.000 1
Tm2 0.000 0.166 0.500 1
Tm3 0.000 0.332 0.000 1
Pa1 0.000 0.500 0.500 1
P1 0.248 0.335 0.749 1
P2 0.248 0.500 0.252 1
# * calculated formation energy: -1.571 eV/atom

---

# 10
# PBE-GGA Tm2PaP3, optimized geometry
data_Tm2PaP3
_chemical_formula_sum 'Tm8 Pa4 P12'
_cell_length_a 7.904
_cell_length_b 5.585
_cell_length_c 11.837
_cell_angle_alpha 90.00
_cell_angle_beta 90.00
_cell_angle_gamma 90.00
_symmetry_space_group_name_H-M 'P n m a'
_symmetry_Int_Tables_number 62
_symmetry_space_group_name_Hall '-P 2ac 2n'
loop_
_atom_site_label
_atom_site_fract_x
_atom_site_fract_y
_atom_site_fract_z
_atom_site_occupancy
Tm1 0.123 0.250 0.083 1
Tm2 0.125 0.250 0.751 1
Pa1 0.126 0.250 0.417 1
P1 0.125 0.750 0.750 1
P2 0.126 0.750 0.416 1
P3 0.127 0.750 0.082 1
# * calculated formation energy: -1.505 eV/atom

---

# 11
# PBE-GGA Tm2UPaP4, optimized geometry
data_Tm2UPaP4
_chemical_formula_sum 'Tm2 U1 Pa1 P4'
_cell_length_a 6.827
_cell_length_b 3.942
_cell_length_c 6.859
_cell_angle_alpha 90.00
_cell_angle_beta 109.39
_cell_angle_gamma 90.00
_symmetry_space_group_name_H-M 'P 1 2/m 1'
_symmetry_Int_Tables_number 10
_symmetry_space_group_name_Hall '-P 2y'
loop_
_atom_site_label
_atom_site_fract_x
_atom_site_fract_y
_atom_site_fract_z
_atom_site_occupancy
Tm1 0.000 0.000 0.000 1
Tm2 0.500 0.500 0.000 1
U1 0.000 0.500 0.500 1
Pa1 0.500 0.000 0.500 1
P1 0.249 0.000 0.750 1
P2 0.249 0.500 0.249 1
# * calculated formation energy: -1.360 eV/atom

---

# 12
# PBE-GGA YTmPa2P4, optimized geometry
data_YTmPa2P4
_chemical_formula_sum 'Y1 Tm1 Pa2 P4'
_cell_length_a 6.865
_cell_length_b 3.971
_cell_length_c 6.877
_cell_angle_alpha 90.00
_cell_angle_beta 109.52
_cell_angle_gamma 90.00
_symmetry_space_group_name_H-M 'P 1 2/m 1'
_symmetry_Int_Tables_number 10
_symmetry_space_group_name_Hall '-P 2y'
loop_
_atom_site_label
_atom_site_fract_x
_atom_site_fract_y
_atom_site_fract_z
_atom_site_occupancy
Y1 0.000 0.000 0.000 1
Tm1 0.000 0.500 0.500 1
Pa1 0.500 0.000 0.500 1
Pa2 0.500 0.500 0.000 1
P1 0.251 0.000 0.748 1
P2 0.253 0.500 0.253 1
# * calculated formation energy: -1.452 eV/atom